Computed, not measured: NpSBr after structural relaxation at the PBE-GGA level of DFT.

Values from the calculation:
Total energy = -45.1 eV per cell
Calculated density = 6.18 g/cm3
E_form (uncorrected) = -1.28 eV per atom

```
NpSBr
1.0
-2.337 3.105 -0.428
-0.588 -0.959 -3.746
-10.735 -5.391 3.066
Np S Br
2 2 2
Direct
0.127 0.572 0.167
0.510 0.072 0.421
0.615 0.072 0.192
0.021 0.572 0.396
0.411 0.072 0.636
0.226 0.572 0.952
```